# 1
Compound: AcZnSi2Ni
Source: Alexandria via LeMat-Bulk
Functional: GGA-PBE
Structure: relaxed

Calculated values
energy = -0.364 Ry/atom
ΔE_f (raw) = -53.1 kJ per mole of atoms
density = 7.4 Mg/m³

The structure in extended XYZ format:
```
10
Lattice="4.252 0.000 0.000 0.000 4.252 0.000 0.000 0.000 10.169" Properties=species:S:1:pos:R:3 pbc="T T T"
Ac 0.000 0.000 0.000
Ac 2.126 2.126 5.084
Zn 0.000 2.126 7.627
Zn 2.126 0.000 2.542
Si 0.000 0.000 3.812
Si 0.000 0.000 6.357
Si 2.126 2.126 1.272
Si 2.126 2.126 8.897
Ni 0.000 2.126 2.542
Ni 2.126 0.000 7.627
```

# 2
Compound: PrY2Ga
Source: Alexandria via LeMat-Bulk
Functional: GGA-PBE
Structure: relaxed

Calculated values
distance to the lowest polymorph of the same formula = 0.072 eV/atom
energy = -0.398 Ry/atom
formation energy = -228 meV per atom
density = 5.8 Mg/m³

The structure in extended XYZ format:
```
4
Lattice="4.826 0.000 0.000 0.000 4.826 0.000 0.000 0.000 4.758" Properties=species:S:1:pos:R:3 pbc="T T T"
Pr 0.000 0.000 0.000
Y 0.000 2.413 2.379
Y 2.413 0.000 2.379
Ga 2.413 2.413 0.000
```

# 3
Compound: MgGaGe2
Source: Alexandria via LeMat-Bulk
Functional: GGA-PBE
Structure: relaxed

Calculated values
distance to the lowest polymorph of the same formula = 0.000 eV/atom
energy = -0.253 Ry/atom
formation energy = 24 meV per atom
density = 5.2 Mg/m³

The structure in extended XYZ format:
```
4
Lattice="4.258 0.000 0.000 0.000 4.258 0.000 0.000 0.000 4.215" Properties=species:S:1:pos:R:3 pbc="T T T"
Mg 0.000 0.000 0.000
Ga 2.129 2.129 0.000
Ge 0.000 2.129 2.107
Ge 2.129 0.000 2.107
```

# 4
Compound: LiScGaPd
Source: Alexandria via LeMat-Bulk
Functional: GGA-PBE
Structure: relaxed

Calculated values
energy = -0.351 Ry/atom
formation energy = -659 meV per atom
density = 5.9 Mg/m³

The structure in extended XYZ format:
```
16
Lattice="6.349 0.000 0.000 0.000 6.349 0.000 0.000 0.000 6.349" Properties=species:S:1:pos:R:3 pbc="T T T"
Li 0.000 0.000 0.000
Li 0.000 3.175 3.175
Li 3.175 0.000 3.175
Li 3.175 3.175 0.000
Sc 1.587 1.587 1.587
Sc 1.587 4.762 4.762
Sc 4.762 1.587 4.762
Sc 4.762 4.762 1.587
Ga 1.587 1.587 4.762
Ga 1.587 4.762 1.587
Ga 4.762 1.587 1.587
Ga 4.762 4.762 4.762
Pd 0.000 0.000 3.175
Pd 0.000 3.175 0.000
Pd 3.175 0.000 0.000
Pd 3.175 3.175 3.175
```